No. 1
! GGA-PBE MgAg3W, optimized geometry; values from VASP
! Symmetry: Pm-3m (221)
! Total magnetic moment: 0.8 Bohr magnetons per cell
! ΔH_f (0 K): 716.3 kJ/mol of formula units
! Excess energy over the best structure of this formula in the dataset: 0 meV per atom
&SYSTEM
  ibrav = 0, nat = 5, ntyp = 3
/
ATOMIC_SPECIES
Mg 24.30 Mg.upf
Ag 107.87 Ag.upf
W 183.84 W.upf
CELL_PARAMETERS angstrom
5.098 0.000 0.000
0.000 5.098 0.000
0.000 0.000 5.098
ATOMIC_POSITIONS angstrom
Mg 0.000 0.000 0.000
Ag 0.000 2.549 2.549
Ag 2.549 0.000 2.549
Ag 2.549 2.549 0.000
W 2.549 2.549 2.549



No. 2
! GGA-PBE CuIr2Pt, optimized geometry; values from VASP
! Symmetry: Pmm2 (25)
! Total magnetic moment: 0.0 Bohr magnetons per cell
! ΔH_f (0 K): 10.9 kJ/mol of formula units
! Excess energy over the best structure of this formula in the dataset: 23 meV per atom
&SYSTEM
  ibrav = 0, nat = 4, ntyp = 3
/
ATOMIC_SPECIES
Cu 63.55 Cu.upf
Ir 192.22 Ir.upf
Pt 195.08 Pt.upf
CELL_PARAMETERS angstrom
2.749 0.000 0.000
0.000 3.823 0.000
0.000 0.000 5.453
ATOMIC_POSITIONS angstrom
Cu 0.000 0.000 0.000
Ir 0.000 0.000 2.651
Ir 1.374 1.912 1.418
Pt 1.374 1.912 4.160



No. 3
! GGA-PBE Hf5ReTc4, optimized geometry; values from VASP
! Symmetry: P4/mmm (123)
! Total magnetic moment: 0.0 Bohr magnetons per cell
! ΔH_f (0 K): -431.3 kJ/mol of formula units
&SYSTEM
  ibrav = 0, nat = 10, ntyp = 3
/
ATOMIC_SPECIES
Hf 178.49 Hf.upf
Re 186.21 Re.upf
Tc 98.00 Tc.upf
CELL_PARAMETERS angstrom
3.267 0.000 0.000
0.000 3.267 0.000
0.000 0.000 16.301
ATOMIC_POSITIONS angstrom
Hf 0.000 0.000 0.000
Hf 0.000 0.000 3.252
Hf 0.000 0.000 6.508
Hf 0.000 0.000 9.793
Hf 0.000 0.000 13.048
Re 1.634 1.634 8.150
Tc 1.634 1.634 1.628
Tc 1.634 1.634 4.881
Tc 1.634 1.634 11.420
Tc 1.634 1.634 14.673



No. 4
! GGA-PBE K2SrBe, optimized geometry; values from VASP
! Symmetry: R-3m (166)
! Total magnetic moment: 0.0 Bohr magnetons per cell
! ΔH_f (0 K): 266.7 kJ/mol of formula units
&SYSTEM
  ibrav = 0, nat = 4, ntyp = 3
/
ATOMIC_SPECIES
K 39.10 K.upf
Sr 87.62 Sr.upf
Be 9.01 Be.upf
CELL_PARAMETERS angstrom
2.169 1.252 12.293
-2.169 1.252 12.293
0.000 -2.504 12.293
ATOMIC_POSITIONS angstrom
K 0.000 0.000 8.396
K 0.000 0.000 28.483
Sr 0.000 0.000 0.000
Be 0.000 0.000 18.439



No. 5
! GGA-PBE Ti8VP2, optimized geometry; values from VASP
! Symmetry: C2/m (12)
! Total magnetic moment: 0.5 Bohr magnetons per cell
! ΔH_f (0 K): -529.6 kJ/mol of formula units
&SYSTEM
  ibrav = 0, nat = 11, ntyp = 3
/
ATOMIC_SPECIES
Ti 47.87 Ti.upf
V 50.94 V.upf
P 30.97 P.upf
CELL_PARAMETERS angstrom
7.691 -1.798 0.000
7.691 1.798 0.000
-2.503 0.000 6.222
ATOMIC_POSITIONS angstrom
Ti -0.128 0.000 1.746
Ti 0.838 0.000 4.949
Ti 3.608 0.000 3.458
Ti 6.270 0.000 0.201
Ti 6.608 0.000 6.022
Ti 9.271 0.000 2.765
Ti 12.041 0.000 1.273
Ti 13.006 0.000 4.476
V 6.439 0.000 3.111
P 2.503 0.000 1.173
P 10.376 0.000 5.049



No. 6
! GGA-PBE In2OsSe, optimized geometry; values from VASP
! Symmetry: P4mm (99)
! Total magnetic moment: 0.0 Bohr magnetons per cell
! ΔE_f (raw): 0.2534 eV per atom
&SYSTEM
  ibrav = 0, nat = 4, ntyp = 3
/
ATOMIC_SPECIES
In 114.82 In.upf
Os 190.23 Os.upf
Se 78.96 Se.upf
CELL_PARAMETERS angstrom
3.046 0.000 0.000
0.000 3.046 0.000
0.000 0.000 9.689
ATOMIC_POSITIONS angstrom
In 0.000 0.000 0.000
In 1.523 1.523 2.837
Os 0.000 0.000 5.054
Se 1.523 1.523 6.382



No. 7
! GGA-PBE Mg2BeTcGe, optimized geometry; values from VASP
! Symmetry: P4/mmm (123)
! Total magnetic moment: 3.2 Bohr magnetons per cell
! ΔH_f (0 K): 457.8 kJ/mol of formula units
&SYSTEM
  ibrav = 0, nat = 5, ntyp = 4
/
ATOMIC_SPECIES
Mg 24.30 Mg.upf
Be 9.01 Be.upf
Tc 98.00 Tc.upf
Ge 72.64 Ge.upf
CELL_PARAMETERS angstrom
5.038 0.000 0.000
0.000 5.038 0.000
0.000 0.000 4.077
ATOMIC_POSITIONS angstrom
Mg 0.000 2.519 0.000
Mg 2.519 0.000 0.000
Be 0.000 0.000 2.038
Tc 2.519 2.519 2.038
Ge 0.000 0.000 0.000



No. 8
! GGA-PBE SiPd2Pb2, optimized geometry; values from VASP
! Symmetry: P4/mbm (127)
! Total magnetic moment: 0.0 Bohr magnetons per cell
! ΔE_f (raw): -0.1112 eV per atom
&SYSTEM
  ibrav = 0, nat = 10, ntyp = 3
/
ATOMIC_SPECIES
Si 28.09 Si.upf
Pd 106.42 Pd.upf
Pb 207.20 Pb.upf
CELL_PARAMETERS angstrom
6.399 0.000 0.000
0.000 6.399 0.000
0.000 0.000 5.267
ATOMIC_POSITIONS angstrom
Si 0.000 0.000 0.000
Si 3.200 3.200 0.000
Pd 1.006 2.193 0.000
Pd 2.193 5.393 0.000
Pd 4.206 1.006 0.000
Pd 5.393 4.206 0.000
Pb 1.139 4.338 2.633
Pb 2.061 1.139 2.633
Pb 4.338 5.261 2.633
Pb 5.261 2.061 2.633